VASP calculation (GGA-PBE) on crystalline HgB2Cl8 at its relaxed geometry.

abc: 9.0535 9.6917 10.0561
angles: 65.40 63.25 62.16
Last column: nearest neighbours and their distance in Å.
Fractional positions:
Cl 0.7340 0.7680 0.9437  1 B 1.79
Cl 0.7362 0.9700 0.1089  1 B 1.86
Cl 0.8152 0.5300 0.3911  1 B 1.86
Hg 0.9975 0.2500 0.7500  6 Cl 2.68-2.85
Cl 0.1047 0.9731 0.2440  1 B 1.91
Cl 0.6783 0.4731 0.7440  1 B 1.91
B 0.1464 0.1311 0.0509  4 Cl 1.79-1.91
Cl 0.2305 0.2212 0.4708  1 B 1.91
Cl 0.4457 0.7320 0.5563  1 B 1.79
B 0.3284 0.3689 0.4491  4 Cl 1.79-1.91
Hg 0.0025 0.7500 0.2500  6 Cl 2.68-2.85
B 0.6716 0.6311 0.5509  4 Cl 1.79-1.91
Cl 0.0775 0.7212 0.9708  1 B 1.91
Cl 0.2660 0.2320 0.0563  1 B 1.79
Cl 0.1848 0.4700 0.6089  1 B 1.86
Cl 0.9225 0.2788 0.0292  1 B 1.91
Cl 0.5543 0.2680 0.4437  1 B 1.79
Cl 0.2638 0.0300 0.8911  1 B 1.86
Cl 0.8953 0.0269 0.7560  1 B 1.91
Cl 0.3217 0.5269 0.2560  1 B 1.91
B 0.8536 0.8689 0.9491  4 Cl 1.79-1.91
Cl 0.7695 0.7788 0.5292  1 B 1.91

Output
- formation energy from raw total energies (meV per atom) = -802

***

VASP calculation (GGA-PBE) on crystalline Hg3BCl at its relaxed geometry.

abc: 4.7377 4.7377 4.7377
angles: 90.00 90.00 90.00
Last column: nearest neighbours and their distance in Å.
Fractional positions:
B 0.0000 0.0000 0.0000  6 Hg 2.37
Hg 0.0000 0.5000 0.0000  2 B 2.37
Hg 0.0000 0.0000 0.5000  2 B 2.37
Cl 0.5000 0.5000 0.5000  12 Hg 3.35
Hg 0.5000 0.0000 0.0000  2 B 2.37

Output
- formation energy from raw total energies (meV per atom) = 159

***

VASP calculation (GGA-PBE) on crystalline HgBCl3 at its relaxed geometry.

abc: 8.8738 8.8738 8.8738
angles: 55.24 55.24 55.24
Last column: nearest neighbours and their distance in Å.
Fractional positions:
B 0.8980 0.8980 0.8980  3 Cl 1.74
Cl 0.2243 0.2239 0.8569  1 B 1.74
Cl 0.7761 0.1431 0.7757  1 B 1.74
Cl 0.7757 0.7761 0.1431  1 B 1.74
Cl 0.8569 0.2243 0.2239  1 B 1.74
Cl 0.1431 0.7757 0.7761  1 B 1.74
Cl 0.2239 0.8569 0.2243  1 B 1.74
Hg 0.6944 0.6944 0.6944  9 Cl 4.18-4.48, 1 B 4.58
B 0.1020 0.1020 0.1020  3 Cl 1.74
Hg 0.3056 0.3056 0.3056  9 Cl 4.18-4.48, 1 B 4.58

Output
- formation energy from raw total energies (meV per atom) = -745

***

VASP calculation (GGA-PBE) on crystalline KHgB2Cl8 at its relaxed geometry.

abc: 6.3357 6.3357 10.0358
angles: 71.60 71.60 60.00
Last column: nearest neighbours and their distance in Å.
Fractional positions:
Cl 0.4807 0.6880 0.7994  1 B 1.87
Cl 0.9680 0.5193 0.2006  1 B 1.87
Cl 0.1783 0.1783 0.4650  1 B 1.85
Hg 0.0000 0.0000 0.0000  6 Cl 3.14
K 0.5000 0.5000 0.5000  12 Cl 3.51-3.67
Cl 0.3120 0.9680 0.2006  1 B 1.87
Cl 0.6880 0.0320 0.7994  1 B 1.87
B 0.7556 0.7556 0.7333  4 Cl 1.85-1.87
Cl 0.0320 0.4807 0.7994  1 B 1.87
Cl 0.5193 0.3120 0.2006  1 B 1.87
Cl 0.8217 0.8217 0.5350  1 B 1.85
B 0.2444 0.2444 0.2667  4 Cl 1.85-1.87

Output
- formation energy from raw total energies (meV per atom) = -982

***

What is the formula in the second record? Hg3BCl

***

Look up the formation energy from raw total energies of the first one. -802 meV per atom

***

Which value of formation energy from raw total energies does entry 3 give? -745 meV per atom